#P
Computed, not measured: crystalline PdRh3F at its relaxed geometry at the GGA-PBE level of DFT.

POSCAR file:
```
PdRh3F
1.0
4.254 0.000 0.000
0.000 4.254 0.000
0.000 0.000 4.254
Rh Pd F
3 1 1
Cartesian
0.000 2.127 0.000
0.000 0.000 2.127
2.127 0.000 0.000
2.127 2.127 2.127
0.000 0.000 0.000
```

Computed properties:
- magnetization (μB/f.u.) = 4.7


#Q
Computed, not measured: crystalline PdRh3F at its relaxed geometry at the GGA-PBE level of DFT.

POSCAR file:
```
PdRh3F
1.0
4.821 0.000 0.000
0.000 4.821 0.000
0.000 0.000 4.821
Rh Pd F
3 1 1
Cartesian
0.000 2.410 0.000
0.000 0.000 2.410
2.410 0.000 0.000
0.000 0.000 0.000
2.410 2.410 2.410
```

Computed properties:
- magnetization (μB/f.u.) = 4.5


Energy ordering: #P at the bottom, the next structure 0.834 eV/atom above.


#P
Computed, not measured: crystalline Pd2Ru2F at its relaxed geometry at the GGA-PBE level of DFT.

POSCAR file:
```
Pd2Ru2F
1.0
7.524 0.000 0.000
0.000 7.524 0.000
0.000 0.000 2.762
Ru Pd F
4 4 2
Cartesian
2.858 6.620 0.000
6.620 4.666 0.000
4.666 0.904 0.000
0.904 2.858 0.000
1.317 5.079 1.381
5.079 6.207 1.381
6.207 2.445 1.381
2.445 1.317 1.381
0.000 0.000 0.000
3.762 3.762 0.000
```

Computed properties:
- magnetization (μB/f.u.) = 0.0


#Q
Computed, not measured: crystalline Pd2Ru2F at its relaxed geometry at the GGA-PBE level of DFT.

POSCAR file:
```
Pd2Ru2F
1.0
-2.984 1.748 -1.370
-1.902 -0.827 3.088
-0.609 5.545 3.350
Ru Pd F
2 2 1
Cartesian
-2.111 1.382 1.310
-3.384 5.084 3.757
-3.018 3.877 1.419
-2.477 2.589 3.648
0.000 0.000 0.000
```

Computed properties:
- magnetization (μB/f.u.) = 1.1


Energy ordering: #P at the bottom, the next structure 0.100 eV/atom above.


#P
Computed, not measured: crystalline PdRu3F at its relaxed geometry at the GGA-PBE level of DFT.

POSCAR file:
```
PdRu3F
1.0
-1.810 3.678 0.726
-0.549 -1.057 3.988
3.708 1.638 0.945
Ru Pd F
3 1 1
Cartesian
-0.274 -0.529 1.994
1.854 0.819 0.472
-0.905 1.839 0.363
0.675 2.129 2.830
0.000 0.000 0.000
```

Computed properties:
- magnetization (μB/f.u.) = 0.0


#Q
Computed, not measured: crystalline PdRu3F at its relaxed geometry at the GGA-PBE level of DFT.

POSCAR file:
```
PdRu3F
1.0
4.839 0.000 0.000
0.000 4.839 0.000
0.000 0.000 4.839
Ru Pd F
3 1 1
Cartesian
0.000 2.420 0.000
0.000 0.000 2.420
2.420 0.000 0.000
0.000 0.000 0.000
2.420 2.420 2.420
```

Computed properties:
- magnetization (μB/f.u.) = 8.0


Energy ordering: #P at the bottom, the next structure 0.916 eV/atom above.